An optimized crystal structure of PmMg2FeH8. Source: Alexandria, functional PBE.

Unit cell a=4.378 b=4.378 c=6.273 alpha=90.00 beta=90.00 gamma=120.00
Fractional positions:
Pm1 0.000 0.000 0.500
Mg1 0.667 0.333 0.128
Mg2 0.333 0.667 0.872
Fe1 0.000 0.000 0.000
H1 0.837 0.674 0.841
H2 0.326 0.163 0.841
H3 0.837 0.163 0.841
H4 0.163 0.326 0.159
H5 0.674 0.837 0.159
H6 0.163 0.837 0.159
H7 0.667 0.333 0.444
H8 0.333 0.667 0.556

## Properties
VASP energy   -47.5 eV per cell
Symmetry   No. 164